A relaxed structure of CoSiGeAu. Source: the Open Quantum Materials Database, functional GGA-PBE.

Cell lengths 6.200, 6.200, 6.200 Å; angles 90.00, 90.00, 90.00 degrees
Atoms (fractional coordinates):
Co: 0.000 0.000 0.000
Co: 0.000 0.500 0.500
Co: 0.500 0.000 0.500
Co: 0.500 0.500 0.000
Si: 0.250 0.250 0.750
Si: 0.250 0.750 0.250
Si: 0.750 0.250 0.250
Si: 0.750 0.750 0.750
Ge: 0.250 0.250 0.250
Ge: 0.250 0.750 0.750
Ge: 0.750 0.250 0.750
Ge: 0.750 0.750 0.250
Au: 0.000 0.000 0.500
Au: 0.000 0.500 0.000
Au: 0.500 0.000 0.000
Au: 0.500 0.500 0.500

Offset from the most stable computed form   0 kJ/mol of formula units
Calculated total energy   -76.67 eV/cell
SG   No. 216


A relaxed structure of YFeSbAu. Source: the Open Quantum Materials Database, functional GGA-PBE.

Cell lengths 6.871, 6.871, 6.871 Å; angles 90.00, 90.00, 90.00 degrees
Atoms (fractional coordinates):
Y: 0.000 0.000 0.000
Y: 0.000 0.500 0.500
Y: 0.500 0.000 0.500
Y: 0.500 0.500 0.000
Fe: 0.250 0.250 0.750
Fe: 0.250 0.750 0.250
Fe: 0.750 0.250 0.250
Fe: 0.750 0.750 0.750
Sb: 0.000 0.000 0.500
Sb: 0.000 0.500 0.000
Sb: 0.500 0.000 0.000
Sb: 0.500 0.500 0.500
Au: 0.250 0.250 0.250
Au: 0.250 0.750 0.750
Au: 0.750 0.250 0.750
Au: 0.750 0.750 0.250

Offset from the most stable computed form   28 kJ/mol of formula units
Calculated total energy   -91.34 eV/cell
SG   No. 216


A relaxed structure of Zr2In2FeCu2Pd. Source: the Open Quantum Materials Database, functional GGA-PBE.

Cell lengths 4.575, 4.575, 6.510 Å; angles 90.00, 90.00, 90.00 degrees
Atoms (fractional coordinates):
Zr: 0.000 0.500 0.245
Zr: 0.500 0.000 0.755
In: 0.000 0.500 0.759
In: 0.500 0.000 0.241
Fe: 0.500 0.500 0.000
Cu: 0.000 0.000 0.000
Cu: 0.500 0.500 0.500
Pd: 0.000 0.000 0.500

Calculated total energy   -45.84 eV/cell
SG   No. 115


A relaxed structure of BaAsOsO. Source: the Open Quantum Materials Database, functional GGA-PBE.

Cell lengths 4.239, 7.059, 6.612 Å; angles 90.00, 90.00, 90.00 degrees
Atoms (fractional coordinates):
Ba: 0.000 0.218 0.000
Ba: 0.000 0.782 0.500
As: 0.000 0.259 0.505
As: 0.000 0.741 0.005
Os: 0.500 0.401 0.587
Os: 0.500 0.599 0.087
O: 0.500 0.387 0.886
O: 0.500 0.613 0.386

Offset from the most stable computed form   97 kJ/mol of formula units
Calculated total energy   -51.11 eV/cell
SG   No. 26


A relaxed structure of ZrPd2Pb. Source: the Open Quantum Materials Database, functional GGA-PBE.

Cell lengths 6.714, 6.714, 6.714 Å; angles 90.00, 90.00, 90.00 degrees
Atoms (fractional coordinates):
Zr: 0.000 0.000 0.000
Zr: 0.000 0.500 0.500
Zr: 0.500 0.000 0.500
Zr: 0.500 0.500 0.000
Pd: 0.000 0.000 0.500
Pd: 0.000 0.500 0.000
Pd: 0.250 0.250 0.250
Pd: 0.250 0.750 0.750
Pd: 0.500 0.000 0.000
Pd: 0.500 0.500 0.500
Pd: 0.750 0.250 0.750
Pd: 0.750 0.750 0.250
Pb: 0.250 0.250 0.750
Pb: 0.250 0.750 0.250
Pb: 0.750 0.250 0.250
Pb: 0.750 0.750 0.750

Calculated total energy   -96.17 eV/cell
SG   No. 216


A relaxed structure of Zr3As2P. Source: the Open Quantum Materials Database, functional GGA-PBE.

Cell lengths 3.823, 3.823, 9.425 Å; angles 90.00, 90.00, 120.00 degrees
Atoms (fractional coordinates):
Zr: 0.000 0.000 0.000
Zr: 0.333 0.667 0.651
Zr: 0.667 0.333 0.349
As: 0.333 0.667 0.171
As: 0.667 0.333 0.829
P: 0.000 0.000 0.500

Calculated total energy   -47.38 eV/cell
SG   No. 164


A relaxed structure of AcSbOs. Source: the Open Quantum Materials Database, functional GGA-PBE.

Cell lengths 6.903, 6.903, 6.903 Å; angles 90.00, 90.00, 90.00 degrees
Atoms (fractional coordinates):
Ac: 0.000 0.000 0.000
Ac: 0.000 0.500 0.500
Ac: 0.500 0.000 0.500
Ac: 0.500 0.500 0.000
Sb: 0.000 0.000 0.500
Sb: 0.000 0.500 0.000
Sb: 0.500 0.000 0.000
Sb: 0.500 0.500 0.500
Os: 0.250 0.250 0.250
Os: 0.250 0.750 0.750
Os: 0.750 0.250 0.750
Os: 0.750 0.750 0.250

Offset from the most stable computed form   0 kJ/mol of formula units
Calculated total energy   -77.83 eV/cell
SG   No. 216


A relaxed structure of Ba5Au2. Source: the Open Quantum Materials Database, functional GGA-PBE.

Cell lengths 10.508, 10.508, 8.537 Å; angles 97.26, 97.26, 42.91 degrees
Atoms (fractional coordinates):
Ba: 0.074 0.926 0.750
Ba: 0.138 0.288 0.316
Ba: 0.288 0.138 0.816
Ba: 0.311 0.497 0.086
Ba: 0.497 0.311 0.586
Ba: 0.503 0.689 0.414
Ba: 0.689 0.503 0.914
Ba: 0.712 0.862 0.184
Ba: 0.862 0.712 0.684
Ba: 0.926 0.074 0.250
Au: 0.086 0.691 0.419
Au: 0.309 0.914 0.081
Au: 0.691 0.086 0.919
Au: 0.914 0.309 0.581

Calculated total energy   -38.54 eV/cell
SG   No. 15


A relaxed structure of NaZrCuTeS2. Source: the Open Quantum Materials Database, functional GGA-PBE.

Cell lengths 7.358, 7.358, 10.324 Å; angles 90.00, 90.00, 150.30 degrees
Atoms (fractional coordinates):
Na: 0.206 0.794 0.750
Na: 0.794 0.206 0.250
Zr: 0.000 0.000 0.000
Zr: 0.000 0.000 0.500
Cu: 0.480 0.520 0.250
Cu: 0.520 0.480 0.750
Te: 0.106 0.894 0.250
Te: 0.894 0.106 0.750
S: 0.385 0.615 0.071
S: 0.385 0.615 0.429
S: 0.615 0.385 0.571
S: 0.615 0.385 0.929

Calculated total energy   -62.30 eV/cell
SG   No. 63


A relaxed structure of SrMgAl4Au2. Source: the Open Quantum Materials Database, functional GGA-PBE.

Cell lengths 5.696, 4.126, 21.386 Å; angles 90.00, 90.00, 90.00 degrees
Atoms (fractional coordinates):
Sr: 0.000 0.000 0.000
Sr: 0.000 0.500 0.500
Mg: 0.000 0.000 0.639
Mg: 0.000 0.500 0.139
Al: 0.272 0.000 0.265
Al: 0.272 0.500 0.765
Al: 0.274 0.000 0.861
Al: 0.274 0.500 0.361
Al: 0.726 0.000 0.861
Al: 0.726 0.500 0.361
Al: 0.728 0.000 0.265
Al: 0.728 0.500 0.765
Au: 0.000 0.000 0.385
Au: 0.000 0.000 0.759
Au: 0.000 0.500 0.259
Au: 0.000 0.500 0.885

Calculated total energy   -49.87 eV/cell
SG   No. 38


A relaxed structure of ReAsAu. Source: the Open Quantum Materials Database, functional GGA-PBE.

Cell lengths 5.961, 5.961, 5.961 Å; angles 90.00, 90.00, 90.00 degrees
Atoms (fractional coordinates):
Re: 0.000 0.000 0.000
Re: 0.000 0.500 0.500
Re: 0.500 0.000 0.500
Re: 0.500 0.500 0.000
As: 0.250 0.250 0.750
As: 0.250 0.750 0.250
As: 0.750 0.250 0.250
As: 0.750 0.750 0.750
Au: 0.000 0.000 0.500
Au: 0.000 0.500 0.000
Au: 0.500 0.000 0.000
Au: 0.500 0.500 0.500

Offset from the most stable computed form   112 kJ/mol of formula units
Calculated total energy   -73.18 eV/cell
SG   No. 216


A relaxed structure of Dy3Ho3NiTe2. Source: the Open Quantum Materials Database, functional GGA-PBE.

Cell lengths 8.359, 8.359, 3.871 Å; angles 90.00, 90.00, 120.00 degrees
Atoms (fractional coordinates):
Dy: 0.000 0.402 0.000
Dy: 0.402 0.000 0.000
Dy: 0.598 0.598 0.000
Ho: 0.000 0.762 0.500
Ho: 0.238 0.238 0.500
Ho: 0.762 0.000 0.500
Ni: 0.000 0.000 0.000
Te: 0.333 0.667 0.500
Te: 0.667 0.333 0.500

Offset from the most stable computed form   0 kJ/mol of formula units
Calculated total energy   -45.75 eV/cell
SG   No. 189


A relaxed structure of GdTlHgS3. Source: the Open Quantum Materials Database, functional GGA-PBE.

Cell lengths 12.124, 4.151, 12.458 Å; angles 90.00, 90.00, 90.00 degrees
Atoms (fractional coordinates):
Gd: 0.039 0.250 0.163
Gd: 0.461 0.750 0.663
Gd: 0.539 0.250 0.337
Gd: 0.961 0.750 0.837
Tl: 0.147 0.250 0.524
Tl: 0.353 0.750 0.024
Tl: 0.647 0.250 0.976
Tl: 0.853 0.750 0.476
Hg: 0.248 0.750 0.316
Hg: 0.252 0.250 0.816
Hg: 0.748 0.750 0.184
Hg: 0.752 0.250 0.684
S: 0.039 0.750 0.314
S: 0.087 0.250 0.935
S: 0.236 0.750 0.677
S: 0.264 0.250 0.177
S: 0.413 0.750 0.435
S: 0.461 0.250 0.814
S: 0.539 0.750 0.186
S: 0.587 0.250 0.565
S: 0.736 0.750 0.823
S: 0.764 0.250 0.323
S: 0.913 0.750 0.065
S: 0.961 0.250 0.686

Offset from the most stable computed form   19 kJ/mol of formula units
Calculated total energy   -101.50 eV/cell
SG   No. 62


A relaxed structure of YThTl. Source: the Open Quantum Materials Database, functional GGA-PBE.

Cell lengths 7.416, 7.416, 7.416 Å; angles 90.00, 90.00, 90.00 degrees
Atoms (fractional coordinates):
Y: 0.000 0.000 0.000
Y: 0.000 0.500 0.500
Y: 0.500 0.000 0.500
Y: 0.500 0.500 0.000
Th: 0.000 0.000 0.500
Th: 0.000 0.500 0.000
Th: 0.500 0.000 0.000
Th: 0.500 0.500 0.500
Tl: 0.250 0.250 0.750
Tl: 0.250 0.750 0.250
Tl: 0.750 0.250 0.250
Tl: 0.750 0.750 0.750

Offset from the most stable computed form   0 kJ/mol of formula units
Calculated total energy   -63.17 eV/cell
SG   No. 216


A relaxed structure of YSiNi. Source: the Open Quantum Materials Database, functional GGA-PBE.

Cell lengths 6.596, 6.596, 4.078 Å; angles 90.00, 90.00, 120.00 degrees
Atoms (fractional coordinates):
Y: 0.000 0.572 0.000
Y: 0.428 0.428 0.000
Y: 0.572 0.000 0.000
Si: 0.000 0.000 0.000
Si: 0.333 0.667 0.500
Si: 0.667 0.333 0.500
Ni: 0.000 0.231 0.500
Ni: 0.231 0.000 0.500
Ni: 0.769 0.769 0.500

Calculated total energy   -58.63 eV/cell
SG   No. 189


A relaxed structure of Ga3B4Pt9. Source: the Open Quantum Materials Database, functional GGA-PBE.

Cell lengths 8.815, 8.815, 6.521 Å; angles 90.00, 90.00, 120.00 degrees
Atoms (fractional coordinates):
Ga: 0.049 0.489 0.250
Ga: 0.440 0.951 0.250
Ga: 0.489 0.049 0.750
Ga: 0.511 0.560 0.250
Ga: 0.560 0.511 0.750
Ga: 0.951 0.440 0.750
B: 0.000 0.820 0.000
B: 0.000 0.820 0.500
B: 0.180 0.180 0.000
B: 0.180 0.180 0.500
B: 0.333 0.667 0.750
B: 0.667 0.333 0.250
B: 0.820 0.000 0.000
B: 0.820 0.000 0.500
Pt: 0.008 0.185 0.250
Pt: 0.177 0.992 0.250
Pt: 0.185 0.008 0.750
Pt: 0.186 0.727 0.520
Pt: 0.186 0.727 0.980
Pt: 0.273 0.459 0.520
Pt: 0.273 0.459 0.980
Pt: 0.459 0.273 0.020
Pt: 0.459 0.273 0.480
Pt: 0.541 0.814 0.520
Pt: 0.541 0.814 0.980
Pt: 0.727 0.186 0.020
Pt: 0.727 0.186 0.480
Pt: 0.814 0.541 0.020
Pt: 0.814 0.541 0.480
Pt: 0.815 0.823 0.250
Pt: 0.823 0.815 0.750
Pt: 0.992 0.177 0.750

Calculated total energy   -193.41 eV/cell
SG   No. 190


A relaxed structure of Mg2CdPt. Source: the Open Quantum Materials Database, functional GGA-PBE.

Cell lengths 6.600, 6.600, 6.600 Å; angles 90.00, 90.00, 90.00 degrees
Atoms (fractional coordinates):
Mg: 0.000 0.000 0.000
Mg: 0.000 0.500 0.500
Mg: 0.250 0.250 0.250
Mg: 0.250 0.750 0.750
Mg: 0.500 0.000 0.500
Mg: 0.500 0.500 0.000
Mg: 0.750 0.250 0.750
Mg: 0.750 0.750 0.250
Cd: 0.250 0.250 0.750
Cd: 0.250 0.750 0.250
Cd: 0.750 0.250 0.250
Cd: 0.750 0.750 0.750
Pt: 0.000 0.000 0.500
Pt: 0.000 0.500 0.000
Pt: 0.500 0.000 0.000
Pt: 0.500 0.500 0.500

Calculated total energy   -47.05 eV/cell
SG   No. 216


A relaxed structure of RbPtO3. Source: the Open Quantum Materials Database, functional GGA-PBE.

Cell lengths 5.914, 5.914, 5.494 Å; angles 90.00, 90.00, 120.00 degrees
Atoms (fractional coordinates):
Rb: 0.333 0.667 0.250
Rb: 0.667 0.333 0.750
Pt: 0.000 0.000 0.000
Pt: 0.000 0.000 0.500
O: 0.143 0.287 0.750
O: 0.143 0.857 0.750
O: 0.287 0.143 0.250
O: 0.713 0.857 0.750
O: 0.857 0.143 0.250
O: 0.857 0.713 0.250

Calculated total energy   -51.94 eV/cell
SG   No. 194


A relaxed structure of Na2Mg2AlCdAu2. Source: the Open Quantum Materials Database, functional GGA-PBE.

Cell lengths 4.735, 4.735, 6.811 Å; angles 90.00, 90.00, 90.00 degrees
Atoms (fractional coordinates):
Na: 0.000 0.500 0.249
Na: 0.500 0.000 0.751
Mg: 0.000 0.000 0.000
Mg: 0.500 0.500 0.500
Al: 0.500 0.500 0.000
Cd: 0.000 0.000 0.500
Au: 0.000 0.500 0.774
Au: 0.500 0.000 0.226

Calculated total energy   -18.93 eV/cell
SG   No. 115


A relaxed structure of YAlCdFe. Source: the Open Quantum Materials Database, functional GGA-PBE.

Cell lengths 6.775, 6.775, 6.775 Å; angles 90.00, 90.00, 90.00 degrees
Atoms (fractional coordinates):
Y: 0.000 0.000 0.000
Y: 0.000 0.500 0.500
Y: 0.500 0.000 0.500
Y: 0.500 0.500 0.000
Al: 0.250 0.250 0.250
Al: 0.250 0.750 0.750
Al: 0.750 0.250 0.750
Al: 0.750 0.750 0.250
Cd: 0.250 0.250 0.750
Cd: 0.250 0.750 0.250
Cd: 0.750 0.250 0.250
Cd: 0.750 0.750 0.750
Fe: 0.000 0.000 0.500
Fe: 0.000 0.500 0.000
Fe: 0.500 0.000 0.000
Fe: 0.500 0.500 0.500

Offset from the most stable computed form   0 kJ/mol of formula units
Calculated total energy   -77.42 eV/cell
SG   No. 216